[1]
Computed, not measured: crystalline Pm6Ni2HI3 at its relaxed geometry at the PBE level of DFT.

The structure belongs to space group C2/m (No. 12); the cell edges are 7.076, 12.280 and 8.234 Å and the angles 90.00°, 106.65° and 90.00°. The distinct sites, in fractional coordinates, are Pm at (0.218, 0.000, 0.181), Pm at (0.233, 0.329, 0.183), Ni at (0.000, 0.167, 0.000), H at (0.000, 0.500, 0.000), I at (0.000, 0.000, 0.500) and I at (0.000, 0.333, 0.500).

The volume is 343 Å³/f.u. For the raw total energy, the calculation gives -4.621 eV per atom.



[2]
Computed, not measured: crystalline Pr6Ni2HI3 at its relaxed geometry at the PBE level of DFT.

The structure belongs to space group C2/m (No. 12); the cell edges are 7.174, 12.451 and 8.343 Å and the angles 90.00°, 106.68° and 90.00°. The distinct sites, in fractional coordinates, are Pr at (0.219, 0.000, 0.183), Pr at (0.233, 0.329, 0.185), Ni at (0.000, 0.167, 0.000), H at (0.000, 0.500, 0.000), I at (0.000, 0.000, 0.500) and I at (0.000, 0.333, 0.500).

The volume is 357 Å³/f.u. For the raw total energy, the calculation gives -4.635 eV per atom.



[3]
Computed, not measured: crystalline Rb2NiHI6 at its relaxed geometry at the PBE level of DFT.

The structure belongs to space group I4/mmm (No. 139); the cell edges are 7.506, 7.506 and 12.386 Å and the angles 90.00°, 90.00° and 90.00°. The distinct sites, in fractional coordinates, are Rb at (0.000, 0.500, 0.250), Ni at (0.000, 0.000, 0.000), H at (0.000, 0.000, 0.500), I at (0.000, 0.000, 0.210) and I at (0.244, 0.244, 0.500).

The volume is 349 Å³/f.u. For the raw total energy, the calculation gives -2.469 eV per atom.



[4]
Computed, not measured: crystalline NiSbHI2 at its relaxed geometry at the PBE level of DFT.

The structure belongs to space group P4/mmm (No. 123); the cell edges are 5.558, 5.558 and 4.772 Å and the angles 90.00°, 90.00° and 90.00°. The distinct sites, in fractional coordinates, are Ni at (0.000, 0.000, 0.000), Sb at (0.000, 0.000, 0.500), H at (0.500, 0.500, 0.500) and I at (0.000, 0.500, 0.000).

The volume is 147 Å³/f.u. For the raw total energy, the calculation gives -2.675 eV per atom.



[5]
Computed, not measured: crystalline NiSb2HI at its relaxed geometry at the PBE level of DFT.

The structure belongs to space group P4/mmm (No. 123); the cell edges are 4.311, 4.311 and 5.821 Å and the angles 90.00°, 90.00° and 90.00°. The distinct sites, in fractional coordinates, are Ni at (0.000, 0.000, 0.000), Sb at (0.000, 0.500, 0.500), H at (0.500, 0.500, 0.500) and I at (0.500, 0.500, 0.000).

The volume is 108 Å³/f.u. For the raw total energy, the calculation gives -3.025 eV per atom.



[6]
Computed, not measured: crystalline NiSbHI2 at its relaxed geometry at the PBE level of DFT.

The structure belongs to space group P4/mmm (No. 123); the cell edges are 5.483, 5.483 and 3.849 Å and the angles 90.00°, 90.00° and 90.00°. The distinct sites, in fractional coordinates, are Ni at (0.000, 0.000, 0.000), Sb at (0.500, 0.500, 0.000), H at (0.500, 0.500, 0.500) and I at (0.000, 0.500, 0.500).

The volume is 116 Å³/f.u. For the raw total energy, the calculation gives -2.528 eV per atom.



[7]
Computed, not measured: crystalline NiSb2HI at its relaxed geometry at the PBE level of DFT.

The structure belongs to space group P4/mmm (No. 123); the cell edges are 4.910, 4.910 and 5.769 Å and the angles 90.00°, 90.00° and 90.00°. The distinct sites, in fractional coordinates, are Ni at (0.000, 0.000, 0.000), Sb at (0.000, 0.500, 0.000), H at (0.500, 0.500, 0.500) and I at (0.000, 0.000, 0.500).

The volume is 139 Å³/f.u. For the raw total energy, the calculation gives -3.072 eV per atom.



[8]
Computed, not measured: crystalline NiTe2HI at its relaxed geometry at the PBE level of DFT.

The structure belongs to space group P4/mmm (No. 123); the cell edges are 4.247, 4.247 and 8.136 Å and the angles 90.00°, 90.00° and 90.00°. The distinct sites, in fractional coordinates, are Ni at (0.000, 0.000, 0.000), Te at (0.000, 0.500, 0.500), H at (0.500, 0.500, 0.500) and I at (0.500, 0.500, 0.000).

The volume is 147 Å³/f.u. For the raw total energy, the calculation gives -2.729 eV per atom.



[9]
Computed, not measured: crystalline NiTeHI2 at its relaxed geometry at the PBE level of DFT.

The structure belongs to space group P4/mmm (No. 123); the cell edges are 5.512, 5.512 and 4.870 Å and the angles 90.00°, 90.00° and 90.00°. The distinct sites, in fractional coordinates, are Ni at (0.000, 0.000, 0.000), Te at (0.000, 0.000, 0.500), H at (0.500, 0.500, 0.500) and I at (0.000, 0.500, 0.000).

The volume is 148 Å³/f.u. For the raw total energy, the calculation gives -2.460 eV per atom.



[10]
Computed, not measured: crystalline NiTeHI2 at its relaxed geometry at the PBE level of DFT.

The structure belongs to space group P4/mmm (No. 123); the cell edges are 5.623, 5.623 and 3.815 Å and the angles 90.00°, 90.00° and 90.00°. The distinct sites, in fractional coordinates, are Ni at (0.000, 0.000, 0.000), Te at (0.500, 0.500, 0.000), H at (0.500, 0.500, 0.500) and I at (0.000, 0.500, 0.500).

The volume is 121 Å³/f.u. For the raw total energy, the calculation gives -2.254 eV per atom.



[11]
Computed, not measured: crystalline NiTe2HI at its relaxed geometry at the PBE level of DFT.

The structure belongs to space group P4/mmm (No. 123); the cell edges are 5.032, 5.032 and 5.550 Å and the angles 90.00°, 90.00° and 90.00°. The distinct sites, in fractional coordinates, are Ni at (0.000, 0.000, 0.000), Te at (0.000, 0.500, 0.000), H at (0.500, 0.500, 0.500) and I at (0.000, 0.000, 0.500).

The volume is 141 Å³/f.u. For the raw total energy, the calculation gives -2.702 eV per atom.



[12]
Computed, not measured: crystalline NpHI6 at its relaxed geometry at the PBE level of DFT.

The structure belongs to space group C2/m (No. 12); the cell edges are 7.953, 13.505 and 7.716 Å and the angles 90.00°, 113.84° and 90.00°. The distinct sites, in fractional coordinates, are Np at (0.000, 0.000, 0.000), H at (0.000, 0.000, 0.500), I at (0.207, 0.000, 0.741) and I at (0.245, 0.151, 0.232).

The volume is 379 Å³/f.u. For the raw total energy, the calculation gives -3.650 eV per atom.



[13]
Computed, not measured: crystalline NpHI at its relaxed geometry at the PBE level of DFT.

The structure belongs to space group P-6m2 (No. 187); the cell edges are 3.9056, 3.9056 and 4.7621 Å and the angles 90.00°, 90.00° and 120.00°. The distinct sites, in fractional coordinates, are Np at (0.0000, 0.0000, 0.0000), H at (0.3333, 0.6667, 0.0000) and I at (0.6667, 0.3333, 0.5000).

The volume is 63 Å³/f.u. For the raw total energy, the calculation gives -6.253 eV per atom.



[14]
Computed, not measured: crystalline NpHI2 at its relaxed geometry at the PBE level of DFT.

The structure belongs to space group Cm (No. 8); the cell edges are 6.926, 3.998 and 8.456 Å and the angles 90.00°, 105.14° and 90.00°. The distinct sites, in fractional coordinates, are Np at (0.000, 0.000, 0.000), H at (0.167, 0.500, 0.000), I at (0.249, 0.000, 0.734) and I at (0.418, 0.000, 0.266).

The volume is 113 Å³/f.u. For the raw total energy, the calculation gives -5.563 eV per atom.



[15]
Computed, not measured: crystalline Np2HI5 at its relaxed geometry at the PBE level of DFT.

The structure belongs to space group Cmcm (No. 63); the cell edges are 3.781, 15.861 and 20.170 Å and the angles 90.00°, 90.00° and 90.00°. The distinct sites, in fractional coordinates, are Np at (0.000, 0.209, 0.172), H at (0.000, 0.262, 0.750), I at (0.000, 0.140, 0.639), I at (0.000, 0.363, 0.564) and I at (0.000, 0.433, 0.750).

The volume is 302 Å³/f.u. For the raw total energy, the calculation gives -5.201 eV per atom.



[16]
Computed, not measured: crystalline NpHI at its relaxed geometry at the PBE level of DFT.

The structure belongs to space group P1 (No. 1); the cell edges are 3.610, 4.121 and 9.725 Å and the angles 95.87°, 90.06° and 115.97°. The distinct sites, in fractional coordinates, are Np at (0.000, 0.000, 0.000), Np at (0.497, 0.994, 0.170), H at (0.199, 0.397, 0.165), H at (0.927, 0.854, 0.796), I at (0.634, 0.269, 0.787) and I at (0.885, 0.767, 0.401).

The volume is 65 Å³/f.u. For the raw total energy, the calculation gives -6.035 eV per atom.



[17]
Computed, not measured: crystalline NpHI5 at its relaxed geometry at the PBE level of DFT.

The structure belongs to space group P-1 (No. 2); the cell edges are 8.274, 8.560 and 10.479 Å and the angles 81.63°, 72.50° and 61.12°. The distinct sites, in fractional coordinates, are Np at (0.000, 0.000, 0.000), Np at (0.500, 0.000, 0.500), H at (0.157, 0.185, 0.251), I at (0.106, 0.203, 0.441), I at (0.192, 0.201, 0.060), I at (0.202, 0.697, 0.156), I at (0.336, 0.827, 0.750) and I at (0.402, 0.301, 0.656).

The volume is 310 Å³/f.u. For the raw total energy, the calculation gives -3.940 eV per atom.



[18]
Computed, not measured: crystalline NpH2I4 at its relaxed geometry at the PBE level of DFT.

The structure belongs to space group P-1 (No. 2); the cell edges are 4.104, 7.648 and 8.137 Å and the angles 91.55°, 90.91° and 91.46°. The distinct sites, in fractional coordinates, are Np at (0.000, 0.000, 0.000), H at (0.491, 0.757, 0.681), I at (0.030, 0.753, 0.676) and I at (0.494, 0.756, 0.160).

The volume is 255 Å³/f.u. For the raw total energy, the calculation gives -3.933 eV per atom.



[19]
Computed, not measured: crystalline NpH4I5 at its relaxed geometry at the PBE level of DFT.

The structure belongs to space group I4 (No. 79); the cell edges are 11.214, 11.214 and 6.057 Å and the angles 90.00°, 90.00° and 90.00°. The distinct sites, in fractional coordinates, are Np at (0.000, 0.000, 0.000), H at (0.004, 0.467, 0.204), I at (0.000, 0.000, 0.500) and I at (0.131, 0.221, 0.999).

The volume is 381 Å³/f.u. For the raw total energy, the calculation gives -3.772 eV per atom.



[20]
Computed, not measured: crystalline Np2HI8 at its relaxed geometry at the PBE level of DFT.

The structure belongs to space group C2/m (No. 12); the cell edges are 15.423, 9.043 and 7.890 Å and the angles 90.00°, 111.16° and 90.00°. The distinct sites, in fractional coordinates, are Np at (0.249, 0.000, 0.018), H at (0.000, 0.500, 0.000), I at (0.118, 0.500, 0.199), I at (0.132, 0.242, 0.759) and I at (0.137, 0.000, 0.247).

The volume is 513 Å³/f.u. For the raw total energy, the calculation gives -4.429 eV per atom.